Material: Re4SiRu
Method: DFT, SCAN
State: PBEsol geometry

Formation energy without anion corrections in kJ/mol of formula units: 420
DFT total energy in hartree per atom: -1.9898
SG: F-43m, No. 216
Total magnetization in μB per formula unit: 0.0

The structure in POSCAR format:
```
Re4SiRu
1.0
5.070 0.000 0.000
2.535 4.391 0.000
2.535 1.464 4.139
Re Si Ru
4 1 1
Cartesian
6.338 2.195 1.552 Re
3.802 2.195 1.552 Re
5.070 4.391 1.552 Re
5.070 2.927 3.623 Re
0.000 0.000 0.000 Si
7.605 4.391 3.105 Ru
```

=====

Material: BeAl2Hg
Method: DFT, SCAN
State: PBEsol geometry

Calculated formation energy in meV/atom: 248
Offset from the most stable computed form in eV per atom: 0.042
DFT total energy in hartree per atom: -0.7996
SG: P4/mmm, No. 123
Total magnetization in μB per formula unit: 0.0

The structure in POSCAR format:
```
BeAl2Hg
1.0
-2.785 -0.333 0.641
0.236 -2.833 -0.445
1.836 -1.017 7.446
Al Be Hg
2 1 1
Cartesian
0.367 -0.203 1.489 Al
1.469 -0.814 5.957 Al
-1.274 -1.583 0.098 Be
-0.356 -2.092 3.821 Hg
```

=====

Material: Ni4Os
Method: DFT, SCAN
State: PBEsol geometry

Calculated formation energy in meV/atom: 87
DFT total energy in hartree per atom: -1.0006
SG: I4/m, No. 87
Total magnetization in μB per formula unit: 0.0

The structure in POSCAR format:
```
Ni4Os
1.0
3.505 0.000 0.000
1.753 3.968 0.000
1.753 0.000 3.968
Os Ni
1 4
Cartesian
0.000 0.000 0.000 Os
3.505 0.775 2.366 Ni
1.753 1.603 0.775 Ni
3.505 3.193 1.603 Ni
5.258 2.366 3.193 Ni
```